[1]
An optimized crystal structure of Ca2Al. Source: Alexandria via LeMat-Bulk, functional GGA-PBE.

Summary:
Symmetry = I4/mmm (139)
Fermi-level density of states = 3.927 states/eV/cell

abc: 3.7220 3.7220 13.4109
angles: 90.00 90.00 90.00
Fractional positions:
Ca 0.0000 0.0000 0.1380
Ca 0.0000 0.0000 0.8620
Ca 0.5000 0.5000 0.3620
Ca 0.5000 0.5000 0.6380
Al 0.0000 0.0000 0.5000
Al 0.5000 0.5000 0.0000

[2]
An optimized crystal structure of Ca2Al. Source: Alexandria via LeMat-Bulk, functional GGA-PBE.

Summary:
Symmetry = C2/m (12)
Fermi-level density of states = 10.096 states/eV/cell

abc: 15.5811 4.3559 6.1575
angles: 90.00 101.21 90.00
Fractional positions:
Ca 0.0806 0.0000 0.2921
Ca 0.1531 0.5000 0.8292
Ca 0.3469 0.0000 0.1708
Ca 0.4194 0.5000 0.7079
Ca 0.5806 0.5000 0.2921
Ca 0.6531 0.0000 0.8292
Ca 0.8469 0.5000 0.1708
Ca 0.9194 0.0000 0.7079
Al 0.2329 0.5000 0.3740
Al 0.2671 0.0000 0.6260
Al 0.7329 0.0000 0.3740
Al 0.7671 0.5000 0.6260

It is found that the energy relative to the elements values, taken in the order of the records, are -147 -144 meV per atom.